Here is crystalline ReAsPBr2 at its relaxed geometry from the Alexandria database. Energies are from PBE.

a = 4.931 Å, b = 4.931 Å, c = 5.146 Å
α = 90.00°, β = 90.00°, γ = 90.00°
Positions (direct):
1 Re 0.000 0.000 0.000
2 As 0.500 0.500 0.000
3 P 0.500 0.500 0.500
4 Br 0.000 0.500 0.500
5 Br 0.500 0.000 0.500

Results
For the magnetic moment, the calculation gives 4.55 μB per cell. As for the density: 6.0 g/cm3. As for the final energy: -0.278 Ry/atom. For the density of states at the Fermi level, the calculation gives 2.2 states/eV/f.u. The calculation puts the formation energy from raw total energies at 32.085 kcal/mol of atoms. The energy above the most stable polymorph in this dataset is 366.6 meV per atom.